The following is a DFT calculation (GGA+U) of a geometry-optimized CaMnB2O5 structure.

Lattice parameters (Å, degrees): 12.5308 11.5546 5.7370 90.00 102.57 90.00
Closest atoms and distances in Å follow each position.
Element x y z (fractional)
Ca 0.0863 0.1284 0.1474  7 O 2.37-2.65
Ca 0.0863 0.3716 0.6474  7 O 2.37-2.65
Ca 0.4088 0.6194 0.3734  7 O 2.38-2.61
Ca 0.4088 0.8806 0.8734  7 O 2.38-2.61
Ca 0.5912 0.1194 0.1266  7 O 2.38-2.61
Ca 0.5912 0.3806 0.6266  7 O 2.38-2.61
Ca 0.9137 0.6284 0.3526  7 O 2.37-2.65
Ca 0.9137 0.8716 0.8526  7 O 2.37-2.65
Mn 0.2379 0.6276 0.7489  6 O 2.17-2.26
Mn 0.2379 0.8724 0.2489  6 O 2.17-2.26
Mn 0.2639 0.1279 0.7557  6 O 2.18-2.26
Mn 0.2639 0.3721 0.2557  6 O 2.18-2.26
Mn 0.7361 0.6279 0.7443  6 O 2.18-2.26
Mn 0.7361 0.8721 0.2443  6 O 2.18-2.26
Mn 0.7621 0.1276 0.7511  6 O 2.17-2.26
Mn 0.7621 0.3724 0.2511  6 O 2.17-2.26
B 0.0114 0.6188 0.8511  3 O 1.37-1.43
B 0.0114 0.8812 0.3511  3 O 1.37-1.43
B 0.1727 0.6246 0.1995  3 O 1.37-1.43
B 0.1727 0.8754 0.6995  3 O 1.37-1.43
B 0.3279 0.1157 0.2939  3 O 1.37-1.42
B 0.3279 0.3843 0.7939  3 O 1.37-1.42
B 0.4908 0.1252 0.6304  3 O 1.37-1.43
B 0.4908 0.3748 0.1304  3 O 1.37-1.43
B 0.5092 0.6252 0.8696  3 O 1.37-1.43
B 0.5092 0.8748 0.3696  3 O 1.37-1.43
B 0.6721 0.6157 0.2061  3 O 1.37-1.42
B 0.6721 0.8843 0.7061  3 O 1.37-1.42
B 0.8273 0.1246 0.3005  3 O 1.37-1.43
B 0.8273 0.3754 0.8005  3 O 1.37-1.43
B 0.9886 0.1188 0.6489  3 O 1.37-1.43
B 0.9886 0.3812 0.1489  3 O 1.37-1.43
O 0.0577 0.6274 0.1012  2 B 1.43
O 0.0577 0.8726 0.6012  2 B 1.43
O 0.0664 0.5736 0.6914  1 B 1.37
O 0.0664 0.9264 0.1914  1 B 1.37
O 0.0907 0.1655 0.7247  1 B 1.37
O 0.0907 0.3345 0.2247  1 B 1.37
O 0.2143 0.6955 0.3883  1 B 1.37
O 0.2143 0.8045 0.8883  1 B 1.37
O 0.2410 0.5540 0.1058  1 B 1.37
O 0.2410 0.9460 0.6058  1 B 1.37
O 0.2658 0.1903 0.3963  1 B 1.38
O 0.2658 0.3097 0.8963  1 B 1.38
O 0.2786 0.0456 0.1079  1 B 1.37
O 0.2786 0.4544 0.6079  1 B 1.37
O 0.4090 0.6771 0.8071  1 B 1.37
O 0.4090 0.8229 0.3071  1 B 1.37
O 0.4377 0.0863 0.8005  1 B 1.37
O 0.4377 0.4137 0.3005  1 B 1.37
O 0.4429 0.1130 0.3813  2 B 1.42-1.43
O 0.4429 0.3870 0.8813  2 B 1.42-1.43
O 0.5571 0.6130 0.1187  2 B 1.42-1.43
O 0.5571 0.8870 0.6187  2 B 1.42-1.43
O 0.5623 0.5863 0.6995  1 B 1.37
O 0.5623 0.9137 0.1995  1 B 1.37
O 0.5910 0.1771 0.6929  1 B 1.37
O 0.5910 0.3229 0.1929  1 B 1.37
O 0.7214 0.5456 0.3921  1 B 1.37
O 0.7214 0.9544 0.8921  1 B 1.37
O 0.7342 0.6903 0.1037  1 B 1.38
O 0.7342 0.8097 0.6037  1 B 1.38
O 0.7590 0.0540 0.3942  1 B 1.37
O 0.7590 0.4460 0.8942  1 B 1.37
O 0.7857 0.1955 0.1117  1 B 1.37
O 0.7857 0.3045 0.6117  1 B 1.37
O 0.9093 0.6655 0.7753  1 B 1.37
O 0.9093 0.8345 0.2753  1 B 1.37
O 0.9336 0.0736 0.8086  1 B 1.37
O 0.9336 0.4264 0.3086  1 B 1.37
O 0.9423 0.1274 0.3988  2 B 1.43
O 0.9423 0.3726 0.8988  2 B 1.43

Calculated values
As for the space group: P2_1/c, No. 14. The value obtained for the total energy is -7.786 eV per atom.